Mg2Sc2ZnPdPt2: relaxed, GGA-PBE.

The structure in extended XYZ format:
```
8
Lattice="-3.049 2.382 2.483 -3.276 -3.024 -1.122 1.488 -3.556 5.240" Properties=species:S:1:pos:R:3 pbc="T T T"
Mg -1.264 -2.406 0.756
Mg -0.411 -1.471 5.164
Pd 0.744 -1.778 2.620
Pt 0.000 0.000 0.000
Pt -2.419 -2.099 3.300
Sc -1.147 0.289 2.571
Sc -0.528 -4.166 3.349
Zn -3.163 -0.321 0.680
```

## Properties
Its electronic total energy is -0.378 Ry/atom. As for the space-group type: P-4m2 (115). For the density, the calculation gives 8.46 g/cm3.